Version A
Compound: Ti2TePb
Source: the Alexandria database
Functional: PBE-GGA
Structure: relaxed

Values from the calculation:
* N(E_F): 17.42 states/eV/cell
* total moment: 5.16 μB per cell

CIF file:
```
data_Ti2TePb
_symmetry_space_group_name_H-M 'F m -3 m'
_symmetry_Int_Tables_number 225
_symmetry_space_group_name_Hall '-F 4 2 3'
_cell_length_a 6.9331
_cell_length_b 6.9331
_cell_length_c 6.9331
_cell_angle_alpha 90.00
_cell_angle_beta 90.00
_cell_angle_gamma 90.00
loop_
_atom_site_label
_atom_site_type_symbol
_atom_site_fract_x
_atom_site_fract_y
_atom_site_fract_z
Ti1 Ti 0.2500 0.2500 0.2500
Te1 Te 0.0000 0.0000 0.0000
Pb1 Pb 0.0000 0.0000 0.5000
```


Version B
Compound: Ti2TePb
Source: the Alexandria database
Functional: PBE-GGA
Structure: relaxed

Values from the calculation:
* N(E_F): 26.10 states/eV/cell
* total moment: 7.99 μB per cell

CIF file:
```
data_Ti2TePb
_symmetry_space_group_name_H-M 'I -4 2 d'
_symmetry_Int_Tables_number 122
_symmetry_space_group_name_Hall 'I -4 2bw'
_cell_length_a 6.1426
_cell_length_b 6.1426
_cell_length_c 13.4666
_cell_angle_alpha 90.00
_cell_angle_beta 90.00
_cell_angle_gamma 90.00
loop_
_atom_site_label
_atom_site_type_symbol
_atom_site_fract_x
_atom_site_fract_y
_atom_site_fract_z
Ti1 Ti 0.2478 0.2500 0.1250
Te1 Te 0.0000 0.0000 0.0000
Pb1 Pb 0.0000 0.0000 0.5000
```


The calculated energies rank the structures as follows, beginning with the most stable: version A, version B.